Material: MnSiP2
Method: DFT, PBE-GGA
State: relaxed

Cell and atoms, written as CIF:
```
data_MnSiP2
_space_group_name_H-M_alt 'P 1 2/m 1'
_space_group_IT_number 10
_cell_length_a 4.171
_cell_length_b 3.345
_cell_length_c 4.590
_cell_angle_alpha 90.00
_cell_angle_beta 107.05
_cell_angle_gamma 90.00
loop_
_space_group_symop_operation_xyz
'x,y,z'
'-x,-y,-z'
'-x,y,-z'
'x,-y,z'
loop_
_atom_site_label
_atom_site_type_symbol
_atom_site_fract_x
_atom_site_fract_y
_atom_site_fract_z
Mn1 Mn 0.000 0.000 0.000
Si1 Si 0.500 0.000 0.500
P1 P 0.284 0.500 0.792
```

Properties
- theoretical density (g/cm3) = 3.93
- E_form (uncorrected) (eV/atom) = 0.06
- Fermi-level density of states (states/eV/f.u.) = 1.51

=====

Material: Li4ErZn2
Method: DFT, PBE-GGA
State: relaxed

Cell and atoms, written as CIF:
```
data_Li4ErZn2
_space_group_name_H-M_alt 'C m m m'
_space_group_IT_number 65
_space_group_name_Hall '-C 2 2'
_cell_length_a 4.556
_cell_length_b 18.124
_cell_length_c 3.266
_cell_angle_alpha 90.00
_cell_angle_beta 90.00
_cell_angle_gamma 90.00
loop_
_atom_site_label
_atom_site_type_symbol
_atom_site_fract_x
_atom_site_fract_y
_atom_site_fract_z
Li1 Li 0.000 0.162 0.000
Li2 Li 0.000 0.308 0.500
Er1 Er 0.000 0.000 0.500
Zn1 Zn 0.000 0.428 0.000
```

Properties
- theoretical density (g/cm3) = 4.01
- energy relative to the elements (eV/atom) = -0.109
- Fermi-level density of states (states/eV/f.u.) = 4.89

=====

Material: Ca2MnRh
Method: DFT, PBE-GGA
State: relaxed

Cell and atoms, written as CIF:
```
data_Ca2MnRh
_space_group_name_H-M_alt 'A m m 2'
_space_group_IT_number 38
_cell_length_a 4.065
_cell_length_b 4.400
_cell_length_c 11.072
_cell_angle_alpha 90.00
_cell_angle_beta 90.00
_cell_angle_gamma 90.00
loop_
_space_group_symop_operation_xyz
'x,y,z'
'-x,-y,z'
'-x,y,z'
'x,-y,z'
'x,y+1/2,z+1/2'
'-x,-y+1/2,z+1/2'
'-x,y+1/2,z+1/2'
'x,-y+1/2,z+1/2'
loop_
_atom_site_label
_atom_site_type_symbol
_atom_site_fract_x
_atom_site_fract_y
_atom_site_fract_z
Ca1 Ca 0.000 0.000 0.000
Ca2 Ca 0.500 0.000 0.282
Mn1 Mn 0.000 0.000 0.699
Rh1 Rh 0.500 0.000 0.574
```

Properties
- theoretical density (g/cm3) = 3.99
- energy relative to the elements (eV/atom) = -0.062
- Fermi-level density of states (states/eV/f.u.) = 2.95

=====

Q: What is the Fermi-level density of states in the third record?
A: 2.95 states/eV/f.u.

=====

Q: Among the records above, which one has the highest theoretical density?
A: Li4ErZn2

=====

Copy entry 2 word for word.
Material: Li4ErZn2
Method: DFT, PBE-GGA
State: relaxed

Cell and atoms, written as CIF:
```
data_Li4ErZn2
_space_group_name_H-M_alt 'C m m m'
_space_group_IT_number 65
_space_group_name_Hall '-C 2 2'
_cell_length_a 4.556
_cell_length_b 18.124
_cell_length_c 3.266
_cell_angle_alpha 90.00
_cell_angle_beta 90.00
_cell_angle_gamma 90.00
loop_
_atom_site_label
_atom_site_type_symbol
_atom_site_fract_x
_atom_site_fract_y
_atom_site_fract_z
Li1 Li 0.000 0.162 0.000
Li2 Li 0.000 0.308 0.500
Er1 Er 0.000 0.000 0.500
Zn1 Zn 0.000 0.428 0.000
```

Properties
- theoretical density (g/cm3) = 4.01
- energy relative to the elements (eV/atom) = -0.109
- Fermi-level density of states (states/eV/f.u.) = 4.89